# 1
Zr2FeHIr: relaxed, GGA-PBE.

Geometry as CIF:
```
data_Zr2FeHIr
_space_group_name_H-M_alt 'P 4/m m m'
_space_group_IT_number 123
_space_group_name_Hall '-P 4 2'
_cell_length_a 4.5586
_cell_length_b 4.5586
_cell_length_c 3.4423
_cell_angle_alpha 90.00
_cell_angle_beta 90.00
_cell_angle_gamma 90.00
loop_
_atom_site_label
_atom_site_fract_x
_atom_site_fract_y
_atom_site_fract_z
_atom_site_occupancy
Zr1 0.0000 0.5000 0.0000 1
Fe1 0.0000 0.0000 0.5000 1
H1 0.0000 0.0000 0.0000 1
Ir1 0.5000 0.5000 0.5000 1
```

Summary:
DFT total energy = -8.0366 eV per atom

=====

# 2
ZrFe2HIr: relaxed, GGA-PBE.

Geometry as CIF:
```
data_ZrFe2HIr
_space_group_name_H-M_alt 'P 4/m m m'
_space_group_IT_number 123
_space_group_name_Hall '-P 4 2'
_cell_length_a 3.9222
_cell_length_b 3.9222
_cell_length_c 3.9280
_cell_angle_alpha 90.00
_cell_angle_beta 90.00
_cell_angle_gamma 90.00
loop_
_atom_site_label
_atom_site_fract_x
_atom_site_fract_y
_atom_site_fract_z
_atom_site_occupancy
Zr1 0.0000 0.0000 0.0000 1
Fe1 0.0000 0.5000 0.5000 1
H1 0.5000 0.5000 0.5000 1
Ir1 0.5000 0.5000 0.0000 1
```

Summary:
Energy above the lowest structure with this stoichiometry = 0.015 eV per atom

=====

# 3
ZrFe2HIr: relaxed, GGA-PBE.

Geometry as CIF:
```
data_ZrFe2HIr
_space_group_name_H-M_alt 'P 4/m m m'
_space_group_IT_number 123
_space_group_name_Hall '-P 4 2'
_cell_length_a 3.8020
_cell_length_b 3.8020
_cell_length_c 4.2131
_cell_angle_alpha 90.00
_cell_angle_beta 90.00
_cell_angle_gamma 90.00
loop_
_atom_site_label
_atom_site_fract_x
_atom_site_fract_y
_atom_site_fract_z
_atom_site_occupancy
Zr1 0.0000 0.0000 0.0000 1
Fe1 0.0000 0.5000 0.5000 1
H1 0.0000 0.0000 0.5000 1
Ir1 0.5000 0.5000 0.0000 1
```

Summary:
Energy above the lowest structure with this stoichiometry = 0.000 eV per atom

=====

# 4
ZrFeHIr2: relaxed, GGA-PBE.

Geometry as CIF:
```
data_ZrFeHIr2
_space_group_name_H-M_alt 'P 4/m m m'
_space_group_IT_number 123
_space_group_name_Hall '-P 4 2'
_cell_length_a 4.0119
_cell_length_b 4.0119
_cell_length_c 3.9376
_cell_angle_alpha 90.00
_cell_angle_beta 90.00
_cell_angle_gamma 90.00
loop_
_atom_site_label
_atom_site_fract_x
_atom_site_fract_y
_atom_site_fract_z
_atom_site_occupancy
Zr1 0.0000 0.0000 0.0000 1
Fe1 0.5000 0.5000 0.0000 1
H1 0.5000 0.5000 0.5000 1
Ir1 0.0000 0.5000 0.5000 1
```

Summary:
DFT total energy = -7.9848 eV per atom

=====

# 5
K2FeH2: relaxed, GGA-PBE.

Geometry as CIF:
```
data_K2FeH2
_space_group_name_H-M_alt 'P 4/m b m'
_space_group_IT_number 127
_space_group_name_Hall '-P 4 2ab'
_cell_length_a 7.6359
_cell_length_b 7.6359
_cell_length_c 3.3395
_cell_angle_alpha 90.00
_cell_angle_beta 90.00
_cell_angle_gamma 90.00
loop_
_atom_site_label
_atom_site_fract_x
_atom_site_fract_y
_atom_site_fract_z
_atom_site_occupancy
K1 0.1471 0.3529 0.0000 1
Fe1 0.0000 0.0000 0.5000 1
H1 0.1604 0.6604 0.5000 1
```

Summary:
DFT total energy = -2.8435 eV per atom

=====

# 6
K3Fe2H9: relaxed, GGA-PBE.

Geometry as CIF:
```
data_K3Fe2H9
_space_group_name_H-M_alt 'R -3 c'
_space_group_IT_number 167
_space_group_name_Hall '-R 3 2"c'
_cell_length_a 9.4855
_cell_length_b 9.4855
_cell_length_c 14.4975
_cell_angle_alpha 90.00
_cell_angle_beta 90.00
_cell_angle_gamma 120.00
loop_
_atom_site_label
_atom_site_fract_x
_atom_site_fract_y
_atom_site_fract_z
_atom_site_occupancy
K1 0.0000 0.3443 0.2500 1
Fe1 0.0000 0.0000 0.1759 1
H1 0.0000 0.1405 0.7500 1
H2 0.0016 0.1324 0.3893 1
```

Summary:
DFT total energy = -3.6964 eV per atom

=====

# 7
KFe2H8: relaxed, GGA-PBE.

Geometry as CIF:
```
data_KFe2H8
_space_group_name_H-M_alt 'A m m 2'
_space_group_IT_number 38
_space_group_name_Hall 'A 2 -2'
_cell_length_a 5.4286
_cell_length_b 7.6117
_cell_length_c 4.4878
_cell_angle_alpha 90.00
_cell_angle_beta 90.00
_cell_angle_gamma 90.00
loop_
_atom_site_label
_atom_site_fract_x
_atom_site_fract_y
_atom_site_fract_z
_atom_site_occupancy
K1 0.0000 0.0000 0.0000 1
Fe1 0.5000 0.1802 0.5620 1
H1 0.3009 0.2121 0.2830 1
H2 0.3213 0.0000 0.5344 1
H3 0.5000 0.1226 0.9255 1
```

Summary:
DFT total energy = -4.0877 eV per atom

=====

# 8
K3FeH: relaxed, GGA-PBE.

Geometry as CIF:
```
data_K3FeH
_space_group_name_H-M_alt 'P m -3 m'
_space_group_IT_number 221
_space_group_name_Hall '-P 4 2 3'
_cell_length_a 5.5429
_cell_length_b 5.5429
_cell_length_c 5.5429
_cell_angle_alpha 90.00
_cell_angle_beta 90.00
_cell_angle_gamma 90.00
loop_
_atom_site_label
_atom_site_fract_x
_atom_site_fract_y
_atom_site_fract_z
_atom_site_occupancy
K1 0.0000 0.0000 0.5000 1
Fe1 0.5000 0.5000 0.5000 1
H1 0.0000 0.0000 0.0000 1
```

Summary:
DFT total energy = -2.4383 eV per atom